Run i
Computed, not measured: a relaxed Hf3ReO crystal at the GGA-PBE level of DFT.

Fermi-level density of states, states/eV per cell: 6.1
Size of the total moment, μB per formula unit: 0.00

Geometry as CIF:
```
data_Hf3ReO
_chemical_formula_sum 'Hf3 Re1 O1'
_cell_length_a 4.373
_cell_length_b 4.373
_cell_length_c 4.373
_cell_angle_alpha 90.00
_cell_angle_beta 90.00
_cell_angle_gamma 90.00
_space_group_name_H-M_alt 'P m -3 m'
_space_group_IT_number 221
_space_group_name_Hall '-P 4 2 3'
loop_
_atom_site_label
_atom_site_type_symbol
_atom_site_fract_x
_atom_site_fract_y
_atom_site_fract_z
Hf1 Hf 0.000 0.000 0.500
Re1 Re 0.500 0.500 0.500
O1 O 0.000 0.000 0.000
```

=====

Run ii
Computed, not measured: a relaxed Hf3ReO crystal at the GGA-PBE level of DFT.

Fermi-level density of states, states/eV per cell: 7.4
Size of the total moment, μB per formula unit: 0.00

Geometry as CIF:
```
data_Hf3ReO
_chemical_formula_sum 'Hf3 Re1 O1'
_cell_length_a 5.024
_cell_length_b 5.024
_cell_length_c 5.024
_cell_angle_alpha 90.00
_cell_angle_beta 90.00
_cell_angle_gamma 90.00
_space_group_name_H-M_alt 'P m -3 m'
_space_group_IT_number 221
_space_group_name_Hall '-P 4 2 3'
loop_
_atom_site_label
_atom_site_type_symbol
_atom_site_fract_x
_atom_site_fract_y
_atom_site_fract_z
Hf1 Hf 0.000 0.000 0.500
Re1 Re 0.000 0.000 0.000
O1 O 0.500 0.500 0.500
```

=====

Looking at the structures above, run i is most stable, and the difference to the next one is 182.7 kJ/mol of atoms.